# Y2MgAg2 | Alexandria | meta-GGA SCAN | PBEsol geometry
# energy relative to the elements	-374	meV per atom
# relative energy among the computed polymorphs	0.0000	eV per atom
data_Y2MgAg2
_chemical_formula_sum 'Y4 Mg2 Ag4'
_cell_length_a 7.913
_cell_length_b 7.913
_cell_length_c 3.752
_cell_angle_alpha 90.00
_cell_angle_beta 90.00
_cell_angle_gamma 90.00
_space_group_name_H-M_alt 'P 4/m b m'
_space_group_IT_number 127
_space_group_name_Hall '-P 4 2ab'
loop_
_atom_site_label
_atom_site_fract_x
_atom_site_fract_y
_atom_site_fract_z
Y1 0.169 0.331 0.000
Mg1 0.000 0.000 0.500
Ag1 0.128 0.628 0.500


# Y2MgAg2 | Alexandria | meta-GGA SCAN | PBEsol geometry
# energy relative to the elements	-138	meV per atom
# relative energy among the computed polymorphs	0.2360	eV per atom
data_Y2MgAg2
_chemical_formula_sum 'Y4 Mg2 Ag4'
_cell_length_a 5.603
_cell_length_b 5.603
_cell_length_c 8.094
_cell_angle_alpha 90.00
_cell_angle_beta 90.00
_cell_angle_gamma 90.00
_space_group_name_H-M_alt 'I 4/m m m'
_space_group_IT_number 139
_space_group_name_Hall '-I 4 2'
loop_
_atom_site_label
_atom_site_fract_x
_atom_site_fract_y
_atom_site_fract_z
Y1 0.000 0.500 0.250
Mg1 0.000 0.000 0.000
Ag1 0.000 0.000 0.345


# Y2MgAg | Alexandria | meta-GGA SCAN | PBEsol geometry
# energy relative to the elements	-242	meV per atom
data_Y2MgAg
_chemical_formula_sum 'Y2 Mg1 Ag1'
_cell_length_a 5.123
_cell_length_b 5.123
_cell_length_c 3.723
_cell_angle_alpha 90.00
_cell_angle_beta 90.00
_cell_angle_gamma 90.00
_space_group_name_H-M_alt 'P 4/m m m'
_space_group_IT_number 123
_space_group_name_Hall '-P 4 2'
loop_
_atom_site_label
_atom_site_fract_x
_atom_site_fract_y
_atom_site_fract_z
Y1 0.000 0.500 0.000
Mg1 0.000 0.000 0.500
Ag1 0.500 0.500 0.500


# Y3MgAg | Alexandria | meta-GGA SCAN | PBEsol geometry
# energy relative to the elements	189	meV per atom
data_Y3MgAg
_chemical_formula_sum 'Y3 Mg1 Ag1'
_cell_length_a 5.477
_cell_length_b 5.477
_cell_length_c 5.477
_cell_angle_alpha 90.00
_cell_angle_beta 90.00
_cell_angle_gamma 90.00
_space_group_name_H-M_alt 'P m -3 m'
_space_group_IT_number 221
_space_group_name_Hall '-P 4 2 3'
loop_
_atom_site_label
_atom_site_fract_x
_atom_site_fract_y
_atom_site_fract_z
Y1 0.000 0.000 0.500
Mg1 0.500 0.500 0.500
Ag1 0.000 0.000 0.000


# YMg2Ag | Alexandria | meta-GGA SCAN | PBEsol geometry
# energy relative to the elements	6	meV per atom
data_YMg2Ag
_chemical_formula_sum 'Y3 Mg6 Ag3'
_cell_length_a 3.2601
_cell_length_b 3.2601
_cell_length_c 29.6743
_cell_angle_alpha 90.00
_cell_angle_beta 90.00
_cell_angle_gamma 120.00
_space_group_name_H-M_alt 'R -3 m'
_space_group_IT_number 166
_space_group_name_Hall '-R 3 2"'
loop_
_atom_site_label
_atom_site_fract_x
_atom_site_fract_y
_atom_site_fract_z
Y1 0.0000 0.0000 0.0000
Mg1 0.0000 0.0000 0.2389
Ag1 0.0000 0.0000 0.5000


# YMg2Ag | Alexandria | meta-GGA SCAN | PBEsol geometry
# energy relative to the elements	-172	meV per atom
data_YMg2Ag
_chemical_formula_sum 'Y2 Mg4 Ag2'
_cell_length_a 3.321
_cell_length_b 5.195
_cell_length_c 10.549
_cell_angle_alpha 90.00
_cell_angle_beta 90.00
_cell_angle_gamma 90.00
_space_group_name_H-M_alt 'I m m m'
_space_group_IT_number 71
_space_group_name_Hall '-I 2 2'
loop_
_atom_site_label
_atom_site_fract_x
_atom_site_fract_y
_atom_site_fract_z
Y1 0.000 0.000 0.000
Mg1 0.000 0.500 0.217
Ag1 0.000 0.000 0.500


# MgZn2Ag | Alexandria | meta-GGA SCAN | PBEsol geometry
# energy relative to the elements	-61	meV per atom
data_MgZn2Ag
_chemical_formula_sum 'Mg1 Zn2 Ag1'
_cell_length_a 2.846
_cell_length_b 4.400
_cell_length_c 5.319
_cell_angle_alpha 90.00
_cell_angle_beta 103.69
_cell_angle_gamma 90.00
_space_group_name_H-M_alt 'P 1 2/m 1'
_space_group_IT_number 10
loop_
_space_group_symop_operation_xyz
'x,y,z'
'-x,-y,-z'
'-x,y,-z'
'x,-y,z'
loop_
_atom_site_label
_atom_site_fract_x
_atom_site_fract_y
_atom_site_fract_z
Mg1 0.000 0.000 0.000
Zn1 0.333 0.500 0.744
Ag1 0.500 0.000 0.500


# MgZnAg2 | Alexandria | meta-GGA SCAN | PBEsol geometry
# energy relative to the elements	-107	meV per atom
data_MgZnAg2
_chemical_formula_sum 'Mg1 Zn1 Ag2'
_cell_length_a 2.881
_cell_length_b 4.496
_cell_length_c 5.351
_cell_angle_alpha 90.00
_cell_angle_beta 104.94
_cell_angle_gamma 90.00
_space_group_name_H-M_alt 'P 1 m 1'
_space_group_IT_number 6
loop_
_space_group_symop_operation_xyz
'x,y,z'
'x,-y,z'
loop_
_atom_site_label
_atom_site_fract_x
_atom_site_fract_y
_atom_site_fract_z
Mg1 0.000 0.000 0.000
Zn1 0.612 0.500 0.233
Ag1 0.349 0.500 0.714
Ag2 0.730 0.000 0.479


# MgZnAg2 | Alexandria | meta-GGA SCAN | PBEsol geometry
# energy relative to the elements	-126	meV per atom
data_MgZnAg2
_chemical_formula_sum 'Mg1 Zn1 Ag2'
_cell_length_a 3.319
_cell_length_b 3.319
_cell_length_c 6.022
_cell_angle_alpha 90.00
_cell_angle_beta 90.00
_cell_angle_gamma 90.00
_space_group_name_H-M_alt 'P 4 m m'
_space_group_IT_number 99
loop_
_space_group_symop_operation_xyz
'x,y,z'
'-y,x,z'
'-x,-y,z'
'y,-x,z'
'-x,y,z'
'y,x,z'
'x,-y,z'
'-y,-x,z'
loop_
_atom_site_label
_atom_site_fract_x
_atom_site_fract_y
_atom_site_fract_z
Mg1 0.000 0.000 0.000
Zn1 0.500 0.500 0.270
Ag1 0.000 0.000 0.485
Ag2 0.500 0.500 0.752


# Mg2ZnAg | Alexandria | meta-GGA SCAN | PBEsol geometry
# energy relative to the elements	-179	meV per atom
data_Mg2ZnAg
_chemical_formula_sum 'Mg4 Zn2 Ag2'
_cell_length_a 3.327
_cell_length_b 4.577
_cell_length_c 9.262
_cell_angle_alpha 90.00
_cell_angle_beta 90.00
_cell_angle_gamma 90.00
_space_group_name_H-M_alt 'I m m 2'
_space_group_IT_number 44
loop_
_space_group_symop_operation_xyz
'x,y,z'
'-x,-y,z'
'-x,y,z'
'x,-y,z'
'x+1/2,y+1/2,z+1/2'
'-x+1/2,-y+1/2,z+1/2'
'-x+1/2,y+1/2,z+1/2'
'x+1/2,-y+1/2,z+1/2'
loop_
_atom_site_label
_atom_site_fract_x
_atom_site_fract_y
_atom_site_fract_z
Mg1 0.000 0.000 0.000
Mg2 0.000 0.500 0.223
Zn1 0.000 0.000 0.474
Ag1 0.000 0.500 0.752


# Mg2ZnAg | Alexandria | meta-GGA SCAN | PBEsol geometry
# energy relative to the elements	-143	meV per atom
data_Mg2ZnAg
_chemical_formula_sum 'Mg4 Zn2 Ag2'
_cell_length_a 4.074
_cell_length_b 4.074
_cell_length_c 8.423
_cell_angle_alpha 90.00
_cell_angle_beta 90.00
_cell_angle_gamma 90.00
_space_group_name_H-M_alt 'I -4 m 2'
_space_group_IT_number 119
_space_group_name_Hall 'I -4 -2'
loop_
_atom_site_label
_atom_site_fract_x
_atom_site_fract_y
_atom_site_fract_z
Mg1 0.000 0.000 0.000
Mg2 0.000 0.500 0.250
Zn1 0.000 0.000 0.500
Ag1 0.000 0.500 0.750


# MgZn2Ag | Alexandria | meta-GGA SCAN | PBEsol geometry
# energy relative to the elements	-109	meV per atom
data_MgZn2Ag
_chemical_formula_sum 'Mg1 Zn2 Ag1'
_cell_length_a 2.910
_cell_length_b 4.251
_cell_length_c 5.402
_cell_angle_alpha 90.00
_cell_angle_beta 105.82
_cell_angle_gamma 90.00
_space_group_name_H-M_alt 'P 1 m 1'
_space_group_IT_number 6
loop_
_space_group_symop_operation_xyz
'x,y,z'
'x,-y,z'
loop_
_atom_site_label
_atom_site_fract_x
_atom_site_fract_y
_atom_site_fract_z
Mg1 0.000 0.000 0.000
Zn1 0.616 0.500 0.226
Zn2 0.740 0.000 0.479
Ag1 0.349 0.500 0.698